# 1
Computed, not measured: a relaxed SrLiAuF6 crystal at the GGA-PBE level of DFT.

Geometry as POSCAR:
```
SrLiAuF6
1.0
5.195 0.000 0.000
-2.597 4.499 0.000
0.000 0.000 10.172
Sr Li Au F
2 2 2 12
Cartesian
0.000 0.000 0.000
0.000 0.000 5.086
0.000 2.999 2.543
2.597 1.500 7.629
0.000 2.999 7.629
2.597 1.500 2.543
-0.859 1.713 1.364
-1.543 2.898 3.722
0.859 1.713 3.722
-0.684 4.386 1.364
1.913 0.113 6.449
1.054 1.601 8.808
1.543 2.898 1.364
0.684 4.386 3.722
3.281 0.113 8.808
1.738 2.785 6.449
4.140 1.601 6.449
3.456 2.785 8.808
```

***

# 2
Computed, not measured: a relaxed La2Pr2CBr5 crystal at the GGA-PBE level of DFT.

Geometry as POSCAR:
```
La2Pr2CBr5
1.0
9.295 -2.014 0.000
9.295 2.014 0.000
-2.010 0.000 8.335
La Pr C Br
2 2 1 5
Cartesian
-0.563 0.000 2.436
17.143 0.000 5.899
5.816 0.000 3.533
10.764 0.000 4.802
8.290 0.000 4.167
1.392 0.000 7.020
2.533 0.000 2.779
9.295 0.000 0.000
14.047 0.000 5.555
15.188 0.000 1.315
```

***

# 3
Computed, not measured: a relaxed SiAu4 crystal at the GGA-PBE level of DFT.

Geometry as POSCAR:
```
SiAu4
1.0
-7.825 7.825 3.005
7.825 -7.825 3.005
7.825 7.825 -3.005
Si Au
8 32
Cartesian
5.857 -5.551 2.282
1.968 5.551 -0.724
9.463 1.944 0.779
1.638 1.944 2.226
6.187 5.881 0.779
-1.638 5.881 2.226
5.857 2.274 3.729
1.968 13.376 0.724
1.711 0.224 0.241
5.584 0.216 0.278
11.954 -1.672 1.225
7.775 -1.408 1.135
5.321 3.863 -0.368
4.129 -1.672 1.781
10.329 3.962 -0.368
1.529 3.157 -0.038
7.775 6.417 -1.135
6.296 -3.157 2.967
11.962 2.201 1.261
7.070 2.383 1.465
-0.755 2.383 1.541
4.136 2.201 1.744
5.584 8.041 -0.278
1.711 8.049 -0.241
6.114 -0.224 3.246
2.241 -0.216 3.283
3.689 5.624 1.261
8.580 5.442 1.465
0.755 5.442 1.541
-4.136 5.624 1.744
1.529 10.983 0.038
0.050 1.408 4.140
6.296 4.668 3.043
-2.504 3.863 3.373
3.697 9.497 1.225
2.504 3.962 3.373
0.050 9.233 1.870
-4.129 9.497 1.781
2.241 7.609 2.727
6.114 7.601 2.764
```

***

# 4
Computed, not measured: a relaxed Zn2GeOs crystal at the GGA-PBE level of DFT.

Geometry as POSCAR:
```
Zn2GeOs
1.0
0.000 3.087 3.087
3.087 0.000 3.087
3.087 3.087 0.000
Zn Ge Os
2 1 1
Cartesian
0.000 0.000 0.000
1.543 1.543 1.543
3.087 3.087 3.087
4.630 4.630 4.630
```

***

# 5
Computed, not measured: a relaxed ZrOs crystal at the GGA-PBE level of DFT.

Geometry as POSCAR:
```
ZrOs
1.0
2.942 0.000 0.000
0.000 4.543 0.000
0.000 0.000 10.858
Zr Os
4 4
Cartesian
0.736 1.136 0.637
0.736 3.407 2.673
2.207 1.136 8.185
2.207 3.407 10.221
0.736 1.136 5.695
0.736 3.407 7.378
2.207 1.136 3.480
2.207 3.407 5.162
```

## Properties
energy of formation from the pure elements	48	meV/atom

***

# 6
Computed, not measured: a relaxed Ta2Mo4P3N3 crystal at the GGA-PBE level of DFT.

Geometry as POSCAR:
```
Ta2Mo4P3N3
1.0
4.824 -2.814 0.000
4.824 2.814 0.000
-3.163 0.000 11.443
Ta Mo P N
4 8 6 6
Cartesian
2.282 2.266 6.872
2.620 2.266 10.293
3.863 -2.266 1.151
4.202 -2.266 4.571
2.616 0.542 1.163
2.420 0.246 4.580
1.035 -0.542 6.885
0.839 -0.246 10.302
5.645 0.246 1.141
5.449 0.542 4.558
4.063 -0.246 6.863
3.867 -0.542 10.280
-0.706 0.531 8.534
0.875 -0.531 2.812
2.451 0.426 8.582
4.033 -0.426 2.861
5.608 0.531 8.631
7.190 -0.531 2.909
0.830 1.407 5.722
4.119 1.556 0.023
3.946 1.556 5.699
2.412 -1.407 0.000
2.538 -1.556 5.744
2.364 -1.556 11.421
```

***

The calculation returns the following energy values, one per record and in order: -76.63; -51.59; -147.59; -16.98; -78.70; -226.82 eV per cell.